Record 1
# PbAu7

A geometry-optimized PbAu7 structure (PBE-GGA, the Open Quantum Materials Database).

Unit cell a=2.988 b=3.001 c=43.611 alpha=89.82 beta=89.80 gamma=89.99
Positions (direct):
Pb: 0.250 0.250 0.146
Pb: 0.750 0.750 0.854
Au: 0.249 0.249 0.800
Au: 0.250 0.250 0.247
Au: 0.250 0.250 0.340
Au: 0.250 0.250 0.432
Au: 0.250 0.250 0.523
Au: 0.250 0.250 0.614
Au: 0.250 0.250 0.707
Au: 0.750 0.750 0.293
Au: 0.750 0.750 0.386
Au: 0.750 0.750 0.477
Au: 0.750 0.750 0.568
Au: 0.750 0.750 0.660
Au: 0.750 0.750 0.753
Au: 0.751 0.751 0.200

E above lowest polymorph	0.0255	eV per atom

---

Record 2
# PbAu15

A geometry-optimized PbAu15 structure (PBE-GGA, the Open Quantum Materials Database).

Unit cell a=4.127 b=4.133 c=45.302 alpha=90.00 beta=90.00 gamma=90.00
Positions (direct):
Pb: 0.250 0.000 0.138
Pb: 0.750 0.000 0.862
Au: 0.250 0.000 0.245
Au: 0.250 0.000 0.338
Au: 0.250 0.000 0.431
Au: 0.250 0.000 0.523
Au: 0.250 0.000 0.616
Au: 0.250 0.000 0.708
Au: 0.250 0.000 0.802
Au: 0.250 0.500 0.198
Au: 0.250 0.500 0.292
Au: 0.250 0.500 0.384
Au: 0.250 0.500 0.477
Au: 0.250 0.500 0.569
Au: 0.250 0.500 0.662
Au: 0.250 0.500 0.755
Au: 0.250 0.500 0.847
Au: 0.750 0.000 0.198
Au: 0.750 0.000 0.292
Au: 0.750 0.000 0.384
Au: 0.750 0.000 0.477
Au: 0.750 0.000 0.569
Au: 0.750 0.000 0.662
Au: 0.750 0.000 0.755
Au: 0.750 0.500 0.153
Au: 0.750 0.500 0.245
Au: 0.750 0.500 0.338
Au: 0.750 0.500 0.431
Au: 0.750 0.500 0.523
Au: 0.750 0.500 0.616
Au: 0.750 0.500 0.708
Au: 0.750 0.500 0.802

E above lowest polymorph	0.0000	eV per atom

---

Record 3
# PbAu10

A geometry-optimized PbAu10 structure (PBE-GGA, the Open Quantum Materials Database).

Unit cell a=5.002 b=5.002 c=33.508 alpha=90.36 beta=90.36 gamma=48.39
Positions (direct):
Pb: 0.158 0.158 0.194
Pb: 0.842 0.842 0.806
Au: 0.049 0.049 0.685
Au: 0.050 0.050 0.401
Au: 0.145 0.145 0.772
Au: 0.150 0.150 0.486
Au: 0.249 0.249 0.287
Au: 0.250 0.250 0.571
Au: 0.350 0.350 0.372
Au: 0.350 0.350 0.656
Au: 0.449 0.449 0.458
Au: 0.451 0.451 0.743
Au: 0.549 0.549 0.257
Au: 0.551 0.551 0.542
Au: 0.650 0.650 0.344
Au: 0.650 0.650 0.628
Au: 0.750 0.750 0.429
Au: 0.751 0.751 0.713
Au: 0.850 0.850 0.514
Au: 0.855 0.855 0.228
Au: 0.950 0.950 0.599
Au: 0.951 0.951 0.315

---

Record 4
# PbAu17

A geometry-optimized PbAu17 structure (PBE-GGA, the Open Quantum Materials Database).

Unit cell a=5.043 b=5.820 c=31.692 alpha=90.00 beta=90.55 gamma=90.00
Positions (direct):
Pb: 0.169 0.250 0.334
Pb: 0.831 0.750 0.666
Au: 0.000 0.000 0.000
Au: 0.000 0.500 0.000
Au: 0.001 0.004 0.231
Au: 0.001 0.496 0.231
Au: 0.165 0.250 0.077
Au: 0.166 0.750 0.077
Au: 0.168 0.750 0.307
Au: 0.169 0.250 0.846
Au: 0.171 0.750 0.847
Au: 0.331 0.000 0.153
Au: 0.331 0.500 0.153
Au: 0.332 0.002 0.693
Au: 0.332 0.498 0.693
Au: 0.334 0.001 0.923
Au: 0.334 0.499 0.923
Au: 0.495 0.250 0.231
Au: 0.498 0.750 0.229
Au: 0.500 0.250 0.001
Au: 0.500 0.750 0.999
Au: 0.502 0.250 0.771
Au: 0.505 0.750 0.769
Au: 0.666 0.501 0.077
Au: 0.666 0.999 0.077
Au: 0.668 0.502 0.307
Au: 0.668 0.998 0.307
Au: 0.669 0.000 0.847
Au: 0.669 0.500 0.847
Au: 0.829 0.250 0.153
Au: 0.831 0.750 0.154
Au: 0.832 0.250 0.693
Au: 0.834 0.250 0.923
Au: 0.835 0.750 0.923
Au: 0.999 0.504 0.769
Au: 0.999 0.996 0.769

E above lowest polymorph	0.0000	eV per atom

---

Across the entries above, VASP energy takes the values -3.28 -3.28 -3.29 -3.26 eV/atom, respectively.